This record from Alexandria describes a geometry-optimized Sm2Ti2Fe15 structure. The functional is PBE-GGA.

a = 6.472 Å, b = 6.472 Å, c = 6.472 Å
α = 82.45°, β = 82.45°, γ = 82.45°
Last column: magnetic moment on the atom in μB.
Sites, in units of the cell vectors:
Ti (0.103, 0.103, 0.103)  -0.89
Fe (0.842, 0.342, 0.342)  2.15
Sm (0.349, 0.349, 0.349)  -0.29
Sm (0.651, 0.651, 0.651)  -0.29
Fe (0.500, 0.000, 0.000)  1.86
Fe (0.158, 0.658, 0.658)  2.15
Fe (0.658, 0.658, 0.158)  2.15
Fe (0.000, 0.296, 0.704)  2.39
Fe (0.296, 0.000, 0.704)  2.39
Fe (0.658, 0.158, 0.658)  2.15
Fe (0.000, 0.000, 0.500)  1.86
Fe (0.704, 0.000, 0.296)  2.39
Fe (0.000, 0.704, 0.296)  2.39
Fe (0.704, 0.296, 0.000)  2.39
Fe (0.342, 0.342, 0.842)  2.15
Fe (0.342, 0.842, 0.342)  2.15
Ti (0.897, 0.897, 0.897)  -0.89
Fe (0.296, 0.704, 0.000)  2.39
Fe (0.000, 0.500, 0.000)  1.86

Calculated values
Space-group type: No. 166
Energy of formation in eV/atom: -0.061